[1]
CaLaSc2 after structural relaxation, computed with PBE-GGA.

Values from the calculation:
**Energy relative to the lowest polymorph listed for this composition**: 0 meV per atom
**Fermi-level density of states**: 5.8 states/eV/f.u.
**Space-group type**: P4mm, No. 99
**Energy of formation**: 0.11 eV per atom
**V**: 127.9 Å³/cell

```
CaLaSc2
1.0
-1.601 3.165 -1.437
-3.477 -1.481 0.611
-0.116 3.561 7.970
Sc Ca La
2 1 1
direct
0.000 0.000 0.029 Sc
0.500 0.500 0.209 Sc
0.000 0.000 0.471 Ca
0.500 0.500 0.792 La
```


[2]
ScTaZnRe after structural relaxation, computed with PBE-GGA.

Values from the calculation:
**Fermi-level density of states**: 3.0 states/eV/f.u.
**Space-group type**: F-43m, No. 216
**Energy of formation**: -0.17 eV per atom
**V**: 67.7 Å³/cell

```
ScTaZnRe
1.0
-1.910 1.285 -3.953
2.136 -0.850 -3.955
-1.665 -3.151 -2.867
Sc Re Zn Ta
1 1 1 1
direct
0.750 0.750 0.750 Sc
0.500 0.500 0.500 Re
0.000 0.000 0.000 Zn
0.250 0.250 0.250 Ta
```


[3]
Pm2TeF3 after structural relaxation, computed with PBE-GGA.

Values from the calculation:
**Energy relative to the lowest polymorph listed for this composition**: 312 meV per atom
**Fermi-level density of states**: 3.3 states/eV/f.u.
**Raw formation energy**: -2.76 eV per atom
**Space-group type**: P6/mmm, No. 191
**V**: 110.2 Å³/cell

```
Pm2TeF3
1.0
-3.584 0.442 1.198
-1.906 -2.877 -4.642
1.271 -2.867 4.859
Pm Te F
2 1 3
direct
0.000 0.334 0.667 Pm
0.000 0.668 0.333 Pm
0.000 0.001 0.000 Te
0.500 0.001 0.500 F
0.500 0.501 0.500 F
0.500 0.501 0.000 F
```


[4]
LiMgCr2 after structural relaxation, computed with PBE-GGA.

Values from the calculation:
**Fermi-level density of states**: 3.2 states/eV/f.u.
**Space-group type**: Cmmm, No. 65
**Energy of formation**: 0.58 eV per atom
**V**: 54.3 Å³/cell

```
LiMgCr2
1.0
-0.281 -2.181 -4.650
4.376 1.142 2.450
-0.004 -2.263 1.062
Cr Li Mg
2 1 1
direct
0.000 0.000 0.000 Cr
0.500 0.500 0.000 Cr
0.500 0.000 0.500 Li
0.000 0.500 0.500 Mg
```


[5]
Al3C after structural relaxation, computed with PBE-GGA.

Values from the calculation:
**Energy relative to the lowest polymorph listed for this composition**: 430 meV per atom
**Fermi-level density of states**: 1.2 states/eV/f.u.
**Space-group type**: Immm, No. 71
**Energy of formation**: 0.46 eV per atom
**V**: 59.2 Å³/cell

```
Al3C
1.0
-4.771 -0.419 -0.421
-0.327 -1.864 -4.419
1.490 -0.875 4.486
C Al
1 3
direct
0.500 0.000 0.500 C
0.321 0.321 0.000 Al
0.679 0.679 0.000 Al
0.000 0.500 0.500 Al
```


[6]
Li4NiRh after structural relaxation, computed with PBE-GGA.

Values from the calculation:
**Energy relative to the lowest polymorph listed for this composition**: 173 meV per atom
**Fermi-level density of states**: 6.4 states/eV/f.u.
**Space-group type**: I-4, No. 82
**Energy of formation**: 0.09 eV per atom
**V**: 79.8 Å³/cell

```
Li4NiRh
1.0
5.509 0.000 0.000
0.000 5.509 0.000
-2.755 -2.754 2.628
Li Ni Rh
4 1 1
direct
0.262 0.871 0.242 Li
0.980 0.371 0.242 Li
0.129 0.020 0.758 Li
0.629 0.738 0.758 Li
0.750 0.250 0.500 Ni
0.500 0.500 0.000 Rh
```